A relaxed ZnFe2N crystal. Source: Alexandria, functional PBE.

Formation energy without anion corrections   0.69 eV/f.u.
M_tot   1.86 μB/f.u.
Final energy   -51.7 eV for the cell shown
Fermi-level density of states   5.22 states/eV/f.u.

```
ZnFe2N
1.0
5.930 0.000 0.000
0.000 5.930 0.000
2.965 2.965 2.559
Zn Fe N
2 4 2
direct
0.000 0.000 0.000 Zn
0.750 0.250 0.500 Zn
0.512 0.125 0.250 Fe
0.238 0.625 0.250 Fe
0.375 0.488 0.750 Fe
0.875 0.762 0.750 Fe
0.500 0.500 0.000 N
0.250 0.750 0.500 N
```